## one
The following is a PBE calculation of an optimized crystal structure of AlFe3Si, from the Alexandria database.

abc: 4.1712 4.1712 4.1712
angles: 90.00 90.00 90.00
Last column: nearest neighbours and their distance in Å.
Sites, in units of the cell vectors:
Si1 0.0000 0.0000 0.0000  6 Fe 2.09
Fe1 0.0000 0.5000 0.0000  2 Si 2.09
Al1 0.5000 0.5000 0.5000  12 Fe 2.95
Fe2 0.5000 0.0000 0.0000  2 Si 2.09
Fe3 0.0000 0.0000 0.5000  2 Si 2.09

The calculation puts the total magnetization at 4.99 μB per formula unit. The volume comes out at 14.51 Å³/atom. The crystal system is cubic. The density of states at the Fermi level is 3.2 states/eV/f.u.


## two
The following is a PBE calculation of an optimized crystal structure of AlFe3Si, from the Alexandria database.

abc: 4.2811 4.2811 4.2811
angles: 90.00 90.00 90.00
Last column: nearest neighbours and their distance in Å.
Sites, in units of the cell vectors:
Fe1 0.0000 0.0000 0.5000  2 Al 2.14
Si1 0.5000 0.5000 0.5000  12 Fe 3.03
Fe2 0.0000 0.5000 0.0000  2 Al 2.14
Al1 0.0000 0.0000 0.0000  6 Fe 2.14
Fe3 0.5000 0.0000 0.0000  2 Al 2.14

The calculation puts the total magnetization at 6.45 μB per formula unit. The volume comes out at 15.69 Å³/atom. The crystal system is cubic. The density of states at the Fermi level is 10.0 states/eV/f.u.


It turns out one is the most stable, with the second structure 645 meV/atom higher.


## one
The following is a PBE calculation of an optimized crystal structure of AlFe4Si, from the Alexandria database.

abc: 2.5386 6.7651 4.2819
angles: 90.00 90.00 90.00
Last column: nearest neighbours and their distance in Å.
Sites, in units of the cell vectors:
Fe1 0.0000 0.8103 0.5000  2 Si 2.45, 2 Al 2.50, 7 Fe 2.54-2.65
Fe2 0.5000 0.3251 0.0000  3 Fe 2.37-2.54, 2 Si 2.45, 2 Al 2.54
Al1 0.0000 0.0000 0.0000  8 Fe 2.50-2.54, 2 Al 2.54
Fe3 0.5000 0.6749 0.0000  3 Fe 2.37-2.54, 2 Si 2.45, 2 Al 2.54
Fe4 0.0000 0.1897 0.5000  2 Si 2.45, 2 Al 2.50, 7 Fe 2.54-2.65
Si1 0.5000 0.5000 0.5000  8 Fe 2.45, 2 Si 2.54

The calculation puts the total magnetization at 8.09 μB per formula unit. The volume comes out at 12.26 Å³/atom. The crystal system is orthorhombic. The density of states at the Fermi level is 4.7 states/eV/f.u.


## two
The following is a PBE calculation of an optimized crystal structure of AlFe4Si, from the Alexandria database.

abc: 4.7196 4.7196 4.7196
angles: 60.00 60.00 60.00
Last column: nearest neighbours and their distance in Å.
Sites, in units of the cell vectors:
Fe1 0.8747 0.3751 0.3751  6 Fe 2.36
Si1 0.7500 0.7500 0.7500  12 Fe 2.77, 4 Al 2.89
Fe2 0.3751 0.3751 0.3751  6 Fe 2.36
Fe3 0.3751 0.8747 0.3751  6 Fe 2.36
Fe4 0.3751 0.3751 0.8747  6 Fe 2.36
Al1 0.0000 0.0000 0.0000  12 Fe 2.77, 4 Si 2.89

The calculation puts the total magnetization at 7.87 μB per formula unit. The volume comes out at 12.39 Å³/atom. The crystal system is cubic. The density of states at the Fermi level is 4.7 states/eV/f.u.


It turns out one is the most stable, with the second structure 66 meV/atom higher.


## one
The following is a PBE calculation of an optimized crystal structure of TiAl2FeSi, from the Alexandria database.

abc: 4.5092 4.3045 4.5092
angles: 90.00 90.00 90.00
Last column: nearest neighbours and their distance in Å.
Sites, in units of the cell vectors:
Si1 0.5000 0.5000 0.5000  8 Al 3.12, 4 Ti 3.19
Fe1 0.0000 0.0000 0.0000  2 Ti 2.15, 4 Al 2.25
Al1 0.5000 0.0000 0.0000  2 Fe 2.25
Ti1 0.0000 0.5000 0.0000  2 Fe 2.15
Al2 0.0000 0.0000 0.5000  2 Fe 2.25

The calculation puts the total magnetization at 0.67 μB per formula unit. The volume comes out at 17.50 Å³/atom. The crystal system is tetragonal. The density of states at the Fermi level is 4.3 states/eV/f.u.


## two
The following is a PBE calculation of an optimized crystal structure of TiAl2FeSi, from the Alexandria database.

abc: 4.6053 4.0917 4.6053
angles: 90.00 90.00 90.00
Last column: nearest neighbours and their distance in Å.
Sites, in units of the cell vectors:
Al1 0.5000 0.0000 0.0000  2 Si 2.30
Al2 0.0000 0.0000 0.5000  2 Si 2.30
Fe1 0.0000 0.5000 0.0000  2 Si 2.05
Ti1 0.5000 0.5000 0.5000  8 Al 3.08, 4 Fe 3.26
Si1 0.0000 0.0000 0.0000  2 Fe 2.05

The calculation puts the total magnetization at 0.00 μB per formula unit. The volume comes out at 17.36 Å³/atom. The crystal system is tetragonal. The density of states at the Fermi level is 3.8 states/eV/f.u.


It turns out one is the most stable, with the second structure 349 meV/atom higher.


## one
The following is a PBE calculation of an optimized crystal structure of Sm2AlFe, from the Alexandria database.

abc: 3.5795 3.5795 7.2260
angles: 90.00 90.00 90.00
Last column: nearest neighbours and their distance in Å.
Sites, in units of the cell vectors:
Sm1 0.0000 0.0000 0.2306  4 Fe 3.03, 4 Al 3.19, 1 Sm 3.33
Al1 0.5000 0.5000 0.5000  8 Sm 3.19
Fe1 0.5000 0.5000 0.0000  8 Sm 3.03
Sm2 0.0000 0.0000 0.7694  4 Fe 3.03, 4 Al 3.19, 1 Sm 3.33

The calculation puts the total magnetization at 1.42 μB per formula unit. The volume comes out at 23.15 Å³/atom. The crystal system is tetragonal. The density of states at the Fermi level is 5.9 states/eV/f.u.


## two
The following is a PBE calculation of an optimized crystal structure of Sm2AlFe, from the Alexandria database.

abc: 3.3079 3.3079 10.5915
angles: 81.02 81.02 60.00
Last column: nearest neighbours and their distance in Å.
Sites, in units of the cell vectors:
Sm1 0.9128 0.9128 0.2617  1 Fe 2.73
Fe1 0.0000 0.0000 0.0000  2 Sm 2.73
Al1 0.5000 0.5000 0.5000  6 Sm 3.13, 6 Al 3.31
Sm2 0.0872 0.0872 0.7383  1 Fe 2.73

The calculation puts the total magnetization at 1.98 μB per formula unit. The volume comes out at 24.68 Å³/atom. The crystal system is trigonal. The density of states at the Fermi level is 4.4 states/eV/f.u.


It turns out one is the most stable, with the second structure 561 meV/atom higher.